(1)
Computed, not measured: a relaxed Eu12Sb3C5 crystal at the PBE-GGA level of DFT.

Structure (POSCAR):
```
Eu12Sb3C5
1.0
-8.3339 8.3339 8.3339
8.3339 -8.3339 8.3339
8.3339 8.3339 -8.3339
Eu Sb C
48 12 20
Cartesian
2.4622 -0.5713 0.8571
10.0386 5.0240 -4.7382
10.7960 0.5713 0.8571
10.0386 -3.3099 4.7382
7.7626 -0.8571 2.4622
13.0721 -1.7048 3.3099
0.8571 2.4622 -0.5713
11.6437 3.5957 -1.7048
5.0240 4.7382 -1.7048
7.4768 2.4622 0.5713
-0.5713 0.8571 2.4622
4.7382 -1.7048 5.0240
7.7626 7.4768 -2.4622
4.7382 1.7048 3.3099
5.0240 -4.7382 10.0386
7.4768 -2.4622 7.7626
3.3099 4.7382 1.7048
9.1909 5.8717 0.5713
4.7382 10.0386 -3.3099
7.7626 0.8571 5.8717
2.4622 7.7626 -0.8571
10.0386 3.3099 3.5957
1.7048 3.3099 4.7382
2.4622 0.5713 7.4768
5.8717 7.7626 0.8571
6.6291 5.0240 3.5957
-1.7048 5.0240 4.7382
5.8717 0.5713 9.1909
0.5713 7.4768 2.4622
3.5957 -1.7048 11.6437
-0.8571 2.4622 7.7626
5.0240 3.5957 6.6291
0.8571 10.7960 0.5713
3.3099 13.0721 -1.7048
3.5957 6.6291 5.0240
0.5713 0.8571 10.7960
3.5957 10.0386 3.3099
8.9051 7.4768 5.8717
0.8571 5.8717 7.7626
3.3099 3.5957 10.0386
-3.3099 4.7382 10.0386
7.4768 5.8717 8.9051
-4.7382 10.0386 5.0240
0.5713 9.1909 5.8717
-1.7048 11.6437 3.5957
-2.4622 7.7626 7.4768
-1.7048 3.3099 13.0721
5.8717 8.9051 7.4768
4.1669 2.0835 0.0000
8.3339 4.1669 -2.0835
2.0835 0.0000 4.1669
10.4173 0.0000 4.1669
0.0000 4.1669 2.0835
4.1669 -2.0835 8.3339
4.1669 10.4173 0.0000
8.3339 4.1669 6.2504
-2.0835 8.3339 4.1669
6.2504 8.3339 4.1669
0.0000 4.1669 10.4173
4.1669 6.2504 8.3339
0.0000 0.0000 0.0000
4.1669 4.1669 -4.1669
4.1669 -4.1669 4.1669
8.3339 0.0000 0.0000
12.5008 2.0835 0.0000
8.3339 -4.1669 6.2504
6.2504 8.3339 -4.1669
6.2504 0.0000 4.1669
4.1669 6.2504 0.0000
8.3339 4.1669 2.0835
-4.1669 4.1669 4.1669
0.0000 8.3339 0.0000
0.0000 0.0000 8.3339
4.1669 4.1669 4.1669
0.0000 4.1669 6.2504
4.1669 2.0835 8.3339
2.0835 8.3339 4.1669
2.0835 0.0000 12.5008
0.0000 12.5008 2.0835
-4.1669 6.2504 8.3339
```

- magnetic moment (Bohr magnetons per cell) = 315.822
- VASP energy (eV/atom) = -9.201
- N(E_F) (states/eV/f.u.) = 73.387
- raw formation energy (eV/atom) = -0.112

(2)
Computed, not measured: a relaxed Sm3EuC crystal at the PBE-GGA level of DFT.

Structure (POSCAR):
```
Sm3EuC
1.0
5.2286 0.0000 0.0000
0.0000 5.2286 0.0000
0.0000 0.0000 5.2286
Sm Eu C
3 1 1
Cartesian
0.0000 0.0000 2.6143
0.0000 2.6143 0.0000
2.6143 0.0000 0.0000
2.6143 2.6143 2.6143
0.0000 0.0000 0.0000
```

- formation enthalpy at 0 K (meV/atom) = 79
- magnetic moment (Bohr magnetons per cell) = 8.206
- VASP energy (eV/atom) = -6.652
- N(E_F) (states/eV/f.u.) = 5.365

Which formula does entry 2 have? Sm3EuC

Which formula does entry 1 have? Eu12Sb3C5

N(E_F) of number 1 (Eu12Sb3C5)? 73.387 states/eV/f.u.

The lowest VASP energy belongs to which entry? Eu12Sb3C5